Entry 1:
TmFe4Ag: relaxed, PBE-GGA.

Geometry as POSCAR:
```
TmFe4Ag
1.0
5.016 0.000 0.000
2.508 4.344 0.000
2.508 1.448 4.095
Tm Fe Ag
1 4 1
Direct
0.000 0.000 0.000
0.625 0.625 0.124
0.625 0.124 0.625
0.625 0.625 0.625
0.124 0.625 0.625
0.250 0.250 0.250
```

Computed properties:
DFT total energy = -41.09 eV per cell
Space-group type = No. 216

=====

Entry 2:
Tm6Fe2Ag: relaxed, PBE-GGA.

Geometry as POSCAR:
```
Tm6Fe2Ag
1.0
7.721 0.058 -2.758
-4.076 6.699 -2.395
-0.030 -0.058 8.199
Tm Fe Ag
12 4 2
Direct
0.522 0.709 0.813
0.478 0.291 0.187
0.103 0.291 0.813
0.897 0.709 0.187
0.787 0.777 0.565
0.213 0.223 0.435
0.213 0.777 0.990
0.787 0.223 0.010
0.704 0.390 0.686
0.296 0.610 0.314
0.296 0.982 0.686
0.704 0.018 0.314
0.500 0.390 0.890
0.500 0.610 0.110
0.615 0.000 0.615
0.385 0.000 0.385
0.000 0.500 0.500
0.000 0.000 0.000
```

Computed properties:
DFT total energy = -95.48 eV per cell
Space-group type = No. 71

=====

Number 1: calculated formation energy 0.01 eV per atom. Number 2: calculated formation energy -0.13 eV per atom.